Entry 1:
{
  "formula": "SrNdCdAs2",
  "functional": "PBE",
  "state": "relaxed",
  "lattice": [[2.182, -8.901, 0.000], [2.182, 8.901, 0.000], [0.000, 0.000, 7.059]],
  "species": ["Sr", "Sr", "Nd", "Nd", "Cd", "Cd", "As", "As", "As", "As"],
  "frac_coords": [[0.199, 0.801, 0.500], [0.801, 0.199, 0.000], [0.029, 0.971, 0.171], [0.971, 0.029, 0.671], [0.396, 0.604, 0.341], [0.604, 0.396, 0.841], [0.175, 0.825, 0.973], [0.435, 0.565, 0.964], [0.565, 0.435, 0.464], [0.825, 0.175, 0.473]],
  "crystal_system": "orthorhombic",
  "dft_energy_ev_per_cell": -42.38,
  "density_g_cm3": 5.98,
  "m_tot_mub_per_fu": 0.00
}



Entry 2:
{
  "formula": "InTcBi2",
  "functional": "PBE",
  "state": "relaxed",
  "lattice": [[7.222, 0.000, 0.000], [0.000, 7.222, 0.000], [0.000, 0.000, 7.222]],
  "species": ["In", "In", "In", "In", "Tc", "Tc", "Tc", "Tc", "Bi", "Bi", "Bi", "Bi", "Bi", "Bi", "Bi", "Bi"],
  "frac_coords": [[0.000, 0.000, 0.000], [0.000, 0.500, 0.500], [0.500, 0.000, 0.500], [0.500, 0.500, 0.000], [0.250, 0.250, 0.750], [0.250, 0.750, 0.250], [0.750, 0.250, 0.250], [0.750, 0.750, 0.750], [0.000, 0.000, 0.500], [0.000, 0.500, 0.000], [0.250, 0.250, 0.250], [0.250, 0.750, 0.750], [0.500, 0.000, 0.000], [0.500, 0.500, 0.500], [0.750, 0.250, 0.750], [0.750, 0.750, 0.250]],
  "crystal_system": "cubic",
  "dft_energy_ev_per_cell": -73.33,
  "density_g_cm3": 11.12,
  "m_tot_mub_per_fu": 0.01
}



Entry 3:
{
  "formula": "SrBeMoOs",
  "functional": "PBE",
  "state": "relaxed",
  "lattice": [[6.547, 0.000, 0.000], [0.000, 6.547, 0.000], [0.000, 0.000, 6.547]],
  "species": ["Sr", "Sr", "Sr", "Sr", "Be", "Be", "Be", "Be", "Mo", "Mo", "Mo", "Mo", "Os", "Os", "Os", "Os"],
  "frac_coords": [[0.000, 0.000, 0.000], [0.000, 0.500, 0.500], [0.500, 0.000, 0.500], [0.500, 0.500, 0.000], [0.250, 0.250, 0.750], [0.250, 0.750, 0.250], [0.750, 0.250, 0.250], [0.750, 0.750, 0.750], [0.000, 0.000, 0.500], [0.000, 0.500, 0.000], [0.500, 0.000, 0.000], [0.500, 0.500, 0.500], [0.250, 0.250, 0.250], [0.250, 0.750, 0.750], [0.750, 0.250, 0.750], [0.750, 0.750, 0.250]],
  "crystal_system": "cubic",
  "dft_energy_ev_per_cell": -95.52,
  "density_g_cm3": 9.06,
  "m_tot_mub_per_fu": 0.00
}



Entry 4:
{
  "formula": "SmDy2AlC",
  "functional": "PBE",
  "state": "relaxed",
  "lattice": [[4.883, 0.000, 0.000], [0.000, 4.883, 0.000], [0.000, 0.000, 5.008]],
  "species": ["Sm", "Dy", "Dy", "Al", "C"],
  "frac_coords": [[0.000, 0.000, 0.000], [0.000, 0.500, 0.500], [0.500, 0.000, 0.500], [0.500, 0.500, 0.000], [0.000, 0.000, 0.500]],
  "crystal_system": "tetragonal",
  "dft_energy_ev_per_cell": -28.59,
  "density_g_cm3": 7.15,
  "m_tot_mub_per_fu": 0.00
}